ZrMnTe2F after structural relaxation. Source: the Alexandria database, functional PBE+U.

Values from the calculation:
SG   P4/mmm
Uncorrected energy   -26.6 eV for the cell shown
DOS at the Fermi energy   2.95 states/eV/cell

Unit cell a=5.477 b=5.477 c=3.815 alpha=90.00 beta=90.00 gamma=90.00
Atoms (fractional coordinates):
Zr 0.000 0.000 0.000
Mn 0.500 0.500 0.000
Te 0.000 0.500 0.500
Te 0.500 0.000 0.500
F 0.500 0.500 0.500